(1)
The following is a DFT calculation (GGA-PBEsol) of a relaxed structure of KZrCdS2.

The structure in extended XYZ format:
```
5
Lattice="4.973 0.000 0.000 0.000 5.172 0.000 0.000 0.000 5.172" Properties=species:S:1:pos:R:3 pbc="T T T"
S 0.000 0.000 2.586
S 0.000 2.586 0.000
K 0.000 0.000 0.000
Cd 2.487 0.000 0.000
Zr 2.487 2.586 2.586
```

Calculated values
D(E_F), states/eV/cell: 4.40
ΔE_f (raw), meV/atom: 947.2

---

(2)
The following is a DFT calculation (GGA-PBEsol) of a relaxed structure of In2CuTe3Cl.

The structure in extended XYZ format:
```
7
Lattice="-2.992 -3.973 -3.021 -1.756 -2.709 5.487 -7.256 0.295 1.574" Properties=species:S:1:pos:R:3 pbc="T T T"
In -2.949 -3.872 -2.870
In -5.900 -2.845 4.269
Cl -3.435 -2.231 3.752
Te -7.040 -2.396 1.763
Te -9.440 -5.291 3.519
Te -4.190 -2.864 -0.606
Cu -9.365 -3.173 2.187
```

Calculated values
ΔE_f (raw), meV/atom: -316.9

---

(3)
The following is a DFT calculation (GGA-PBEsol) of a relaxed structure of Bi.

The structure in extended XYZ format:
```
2
Lattice="3.239 0.000 0.000 0.000 4.533 0.000 0.000 0.000 4.533" Properties=species:S:1:pos:R:3 pbc="T T T"
Bi 0.183 0.000 2.266
Bi 3.056 2.266 0.000
```

Calculated values
Formation enthalpy at 0 K, meV/atom: 24
D(E_F), states/eV/cell: 1.10

---

(4)
The following is a DFT calculation (GGA-PBEsol) of a relaxed structure of MnTlCd2.

The structure in extended XYZ format:
```
4
Lattice="3.063 0.000 0.000 0.000 3.063 -0.060 0.000 -0.389 8.753" Properties=species:S:1:pos:R:3 pbc="T T T"
Cd 0.000 2.840 2.516
Cd 0.000 -0.166 6.178
Mn 1.532 1.337 4.347
Tl 1.532 1.531 -0.030
```

Calculated values
Formation enthalpy at 0 K, meV/atom: 263
D(E_F), states/eV/cell: 2.93

---

(5)
The following is a DFT calculation (GGA-PBEsol) of a relaxed structure of SrTlCrAs2.

The structure in extended XYZ format:
```
5
Lattice="-3.755 -3.568 -1.123 3.723 -3.720 -0.630 -0.400 -1.355 5.641" Properties=species:S:1:pos:R:3 pbc="T T T"
As -1.878 -1.784 -0.561
As 1.861 -1.860 -0.315
Tl 0.000 0.000 0.000
Sr -0.200 -0.677 2.820
Cr -0.216 -4.321 1.944
```

Calculated values
Formation enthalpy at 0 K, meV/atom: 1052
D(E_F), states/eV/cell: 3.81

---

(6)
The following is a DFT calculation (GGA-PBEsol) of a relaxed structure of ZnSbRu3.

The structure in extended XYZ format:
```
5
Lattice="4.427 0.000 0.000 0.000 4.427 0.000 0.000 0.000 4.427" Properties=species:S:1:pos:R:3 pbc="T T T"
Sb 2.213 2.213 2.213
Ru 0.000 0.000 2.213
Ru 2.213 0.000 0.000
Ru 0.000 2.213 0.000
Zn 0.000 0.000 0.000
```

Calculated values
D(E_F), states/eV/cell: 7.66
ΔE_f (raw), meV/atom: 1352.0

---

(7)
The following is a DFT calculation (GGA-PBEsol) of a relaxed structure of ScZnAs2.

The structure in extended XYZ format:
```
4
Lattice="-1.755 2.202 -2.133 0.463 -2.240 -2.693 -4.884 -2.598 1.336" Properties=species:S:1:pos:R:3 pbc="T T T"
Sc -3.088 -1.318 -1.745
As -0.818 -2.919 -2.340
As -3.602 -1.919 0.983
Zn -0.646 -0.019 -2.413
```

Calculated values
Formation enthalpy at 0 K, meV/atom: -504
D(E_F), states/eV/cell: 1.95

---

(8)
The following is a DFT calculation (GGA-PBEsol) of a relaxed structure of Li3TaO4.

The structure in extended XYZ format:
```
48
Lattice="-3.199 -4.939 0.986 1.344 0.293 5.831 -10.762 6.787 -0.922" Properties=species:S:1:pos:R:3 pbc="T T T"
O -9.090 2.301 4.232
O -12.023 2.062 3.350
O -1.682 -2.344 5.831
O -2.974 0.042 4.467
O -7.936 -0.117 5.627
O -4.165 2.493 3.048
O -6.436 -0.270 0.797
O -4.382 -2.399 4.880
O -3.527 -0.160 1.662
O -12.527 1.846 0.566
O -0.594 0.079 2.544
O -5.168 -2.427 2.189
O -6.181 2.411 5.098
O -10.167 4.560 2.815
O -10.935 4.485 0.064
O -6.928 2.367 2.340
O -0.090 0.295 5.328
O -5.689 -0.226 3.554
O -2.450 -2.419 3.079
O -8.452 -0.352 2.846
O -4.681 2.258 0.268
O -8.235 4.540 1.015
O -9.643 2.099 1.427
O -7.449 4.568 3.705
Li -4.515 1.235 5.076
Li -10.210 0.897 3.090
Li -6.099 -1.308 5.311
Li -5.322 1.118 1.870
Li -2.406 1.244 2.804
Li -1.922 -1.252 1.033
Li -4.641 -1.315 0.371
Li -7.295 1.023 4.024
Li -9.070 5.805 4.107
Li -6.518 3.449 0.584
Li -3.547 -3.664 1.787
Li -1.114 -1.135 4.239
Li -11.503 3.276 1.656
Li -3.219 0.881 -0.068
Li -8.102 0.906 0.818
Li -9.320 3.162 -0.307
Li -10.695 3.393 4.862
Li -10.742 0.966 0.132
Ta -8.707 3.218 2.627
Ta -5.734 3.557 3.655
Ta -3.910 -1.078 3.268
Ta -9.851 5.701 1.036
Ta -6.882 -1.416 2.240
Ta -2.766 -3.560 4.859
```

Calculated values
D(E_F), states/eV/cell: 0.00
ΔE_f (raw), meV/atom: -2526.1

---

(9)
The following is a DFT calculation (GGA-PBEsol) of a relaxed structure of ZnCdFe2.

The structure in extended XYZ format:
```
4
Lattice="3.699 0.000 0.000 0.000 3.702 0.000 -1.850 -1.851 3.969" Properties=species:S:1:pos:R:3 pbc="T T T"
Fe 0.000 0.000 1.984
Fe 1.850 1.851 1.985
Zn 1.850 0.000 0.000
Cd 0.000 1.851 0.000
```

Calculated values
Formation enthalpy at 0 K, meV/atom: 231
D(E_F), states/eV/cell: 1.60

---

(10)
The following is a DFT calculation (GGA-PBEsol) of a relaxed structure of Cr3GaSi.

The structure in extended XYZ format:
```
5
Lattice="4.316 0.000 0.000 0.000 4.316 0.000 0.000 0.000 4.316" Properties=species:S:1:pos:R:3 pbc="T T T"
Cr 0.000 0.000 2.158
Cr 2.158 0.000 0.000
Cr 0.000 2.158 0.000
Ga 2.158 2.158 2.158
Si 0.000 0.000 0.000
```

Calculated values
D(E_F), states/eV/cell: 3.18
ΔE_f (raw), meV/atom: 883.0

---

(11)
The following is a DFT calculation (GGA-PBEsol) of a relaxed structure of BeSbTe2Mo.

The structure in extended XYZ format:
```
5
Lattice="-2.194 2.779 3.832 -4.313 0.566 -2.881 -1.939 -4.354 2.047" Properties=species:S:1:pos:R:3 pbc="T T T"
Sb -0.969 -2.177 1.023
Te -1.097 1.389 1.916
Te -2.157 0.283 -1.440
Be -4.223 -0.505 1.499
Mo 0.000 0.000 0.000
```

Calculated values
D(E_F), states/eV/cell: 4.73
ΔE_f (raw), meV/atom: 972.2

---

(12)
The following is a DFT calculation (GGA-PBEsol) of a relaxed structure of La2CuPd2.

The structure in extended XYZ format:
```
10
Lattice="-3.369 -2.157 0.389 2.909 -3.483 5.885 -2.821 5.214 4.481" Properties=species:S:1:pos:R:3 pbc="T T T"
La -3.080 1.832 4.252
La -0.202 -2.258 6.503
La -1.234 -1.296 2.891
La -2.047 0.869 7.864
Pd 1.466 -1.512 4.317
Pd -0.651 1.454 2.427
Pd 0.739 0.277 7.939
Pd -1.379 3.243 6.049
Cu 0.000 0.000 0.000
Cu 0.044 0.865 5.183
```

Calculated values
Formation enthalpy at 0 K, meV/atom: -531
D(E_F), states/eV/cell: 7.61

---

(13)
The following is a DFT calculation (GGA-PBEsol) of a relaxed structure of MgAg3.

The structure in extended XYZ format:
```
8
Lattice="4.055 0.000 0.000 0.000 4.055 0.000 -2.027 -2.027 8.229" Properties=species:S:1:pos:R:3 pbc="T T T"
Ag 0.000 0.000 2.032
Ag 2.027 2.027 6.197
Ag 0.000 2.027 4.114
Ag 2.027 0.000 0.000
Ag 0.000 2.027 0.000
Ag 2.027 0.000 4.114
Mg 0.000 0.000 6.145
Mg 2.027 2.027 2.084
```

Calculated values
Formation enthalpy at 0 K, meV/atom: -176
D(E_F), states/eV/cell: 1.75

---

(14)
The following is a DFT calculation (GGA-PBEsol) of a relaxed structure of AlZn.

The structure in extended XYZ format:
```
2
Lattice="2.780 0.000 0.000 1.390 2.407 0.000 1.390 0.802 4.558" Properties=species:S:1:pos:R:3 pbc="T T T"
Zn 2.780 1.605 2.279
Al 0.000 0.000 0.000
```

Calculated values
Formation enthalpy at 0 K, meV/atom: 19
D(E_F), states/eV/cell: 0.63

---

(15)
The following is a DFT calculation (GGA-PBEsol) of a relaxed structure of ReAgIr3.

The structure in extended XYZ format:
```
5
Lattice="4.680 0.000 0.000 0.000 4.680 0.000 0.000 0.000 4.680" Properties=species:S:1:pos:R:3 pbc="T T T"
Re 0.000 0.000 0.000
Ir 0.000 2.340 0.000
Ir 2.340 0.000 0.000
Ir 0.000 0.000 2.340
Ag 2.340 2.340 2.340
```

Calculated values
Formation enthalpy at 0 K, meV/atom: 1837
D(E_F), states/eV/cell: 3.76

---

(16)
The following is a DFT calculation (GGA-PBEsol) of a relaxed structure of LaCr2Re.

The structure in extended XYZ format:
```
4
Lattice="2.799 -0.006 -0.009 -1.091 4.925 0.020 -1.091 -2.000 4.500" Properties=species:S:1:pos:R:3 pbc="T T T"
La 0.309 1.460 2.256
Cr -0.545 -1.000 2.250
Cr -0.545 2.462 0.010
Re 1.400 -0.003 -0.004
```

Calculated values
Formation enthalpy at 0 K, meV/atom: 818
D(E_F), states/eV/cell: 4.51

---

(17)
The following is a DFT calculation (GGA-PBEsol) of a relaxed structure of La2Sc.

The structure in extended XYZ format:
```
3
Lattice="3.497 0.000 0.000 0.000 4.982 0.000 -1.748 -2.491 5.153" Properties=species:S:1:pos:R:3 pbc="T T T"
Sc 1.748 2.491 0.000
La 1.748 2.491 3.409
La 0.000 0.000 1.744
```

Calculated values
Formation enthalpy at 0 K, meV/atom: 42
D(E_F), states/eV/cell: 3.47

---

(18)
The following is a DFT calculation (GGA-PBEsol) of a relaxed structure of ZnReCl2.

The structure in extended XYZ format:
```
4
Lattice="2.852 0.000 0.026 0.000 4.091 0.000 -1.190 0.000 5.503" Properties=species:S:1:pos:R:3 pbc="T T T"
Re 0.831 2.045 2.764
Zn 0.000 2.045 0.000
Cl 0.757 0.000 4.101
Cl 0.905 0.000 1.427
```

Calculated values
D(E_F), states/eV/cell: 2.14
ΔE_f (raw), meV/atom: 395.5

---

(19)
The following is a DFT calculation (GGA-PBEsol) of a relaxed structure of Li2P7H27N9.

The structure in extended XYZ format:
```
90
Lattice="-0.301 5.569 7.330 -0.703 -9.305 1.338 13.145 0.795 -0.816" Properties=species:S:1:pos:R:3 pbc="T T T"
H 12.408 1.600 4.540
H 2.667 -6.602 3.179
H 5.567 -6.854 3.296
H 3.782 -2.727 7.950
H 7.903 -4.296 1.220
H 11.743 -3.673 0.396
H 5.134 -2.134 7.195
H 10.881 0.375 7.434
H 5.319 3.337 5.460
H 8.483 -1.164 1.259
H 12.696 -0.879 0.627
H 2.705 -4.945 3.060
H 11.600 0.183 4.298
H 1.146 1.100 1.727
H 1.736 -5.842 2.070
H 9.437 2.004 4.793
H 0.398 0.732 7.457
H 9.159 -6.211 3.203
H 1.260 -3.316 0.419
H 7.007 -0.807 0.657
H -0.267 -4.541 3.312
H 0.872 2.129 2.951
H -0.539 -6.871 2.822
H 0.935 -1.859 6.519
H 2.982 3.271 4.650
H 10.995 -4.041 6.125
H 3.859 -3.328 0.532
H 11.269 -5.069 4.901
H 6.822 -6.278 2.393
H 6.676 0.582 7.356
H 2.773 -4.480 5.693
H 11.332 -0.248 -0.105
H 4.238 1.355 6.632
H 0.542 -3.124 3.554
H 8.359 -0.214 -0.098
H 0.809 -2.692 7.958
H 8.282 0.387 7.320
H 5.466 -3.523 0.496
H 9.369 1.539 2.159
H 12.110 -2.487 3.212
H 10.807 -4.421 1.514
H 9.071 -7.315 1.955
H -0.555 -2.062 7.225
H 6.013 -5.246 3.373
H 6.574 3.913 4.556
H 6.128 2.305 4.479
H 3.070 4.374 5.897
H 11.206 -1.082 1.334
H 10.405 2.901 5.783
H 1.334 1.480 6.339
H 9.475 3.661 4.673
H 12.680 3.930 5.031
H 3.659 -1.777 6.593
H 0.031 -0.454 4.641
Li 4.382 -5.800 1.358
Li 11.925 1.334 1.897
Li 7.759 2.859 6.494
Li 0.216 -4.275 5.955
N 2.661 -5.816 2.511
N 7.554 1.085 7.532
N -0.128 -3.777 3.988
N 0.349 -2.517 7.052
N 11.570 -4.581 0.841
N 0.572 1.640 7.012
N 2.110 -5.046 6.241
N 12.270 0.836 3.865
N 11.737 -4.624 5.699
N 9.480 2.875 5.341
N 7.968 -1.042 0.375
N 11.793 -0.424 0.801
N 0.404 1.683 2.153
N 5.885 -6.045 2.739
N 6.256 3.104 5.113
N 10.031 2.105 1.611
N 4.587 -4.026 0.321
N 4.173 -1.899 7.478
P 9.682 -1.989 3.461
P 3.348 -0.341 1.052
P 4.767 0.387 2.527
P 2.314 -1.762 2.285
P 2.459 -0.951 4.392
P 8.332 -0.309 4.128
P 8.576 -3.797 3.591
P 3.809 -2.632 3.724
P 7.375 -3.328 5.325
P 6.552 -1.313 4.918
P 9.827 -1.179 5.568
P 5.589 -1.628 2.935
P 8.793 -2.600 6.800
P 3.565 0.856 4.261
```

Calculated values
E, eV per atom: -5.052
D(E_F), states/eV/cell: 0.00

---

(20)
The following is a DFT calculation (GGA-PBEsol) of a relaxed structure of NiPPdO2.

The structure in extended XYZ format:
```
5
Lattice="3.499 0.000 0.000 0.000 3.499 0.000 0.000 0.000 5.088" Properties=species:S:1:pos:R:3 pbc="T T T"
O 0.000 1.750 0.000
O 1.750 0.000 0.000
P 0.000 0.000 2.544
Ni 0.000 0.000 0.000
Pd 1.750 1.750 2.544
```

Calculated values
D(E_F), states/eV/cell: 4.47
ΔE_f (raw), meV/atom: 42.8

---

(21)
The following is a DFT calculation (GGA-PBEsol) of a relaxed structure of Pt2W.

The structure in extended XYZ format:
```
3
Lattice="-2.316 -1.315 -0.720 1.118 -2.398 0.783 -1.553 2.643 5.454" Properties=species:S:1:pos:R:3 pbc="T T T"
Pt -1.466 0.536 3.735
Pt -1.286 -1.605 1.781
W 0.000 0.000 0.000
```

Calculated values
Formation enthalpy at 0 K, meV/atom: -314
D(E_F), states/eV/cell: 1.77

---

(22)
The following is a DFT calculation (GGA-PBEsol) of a relaxed structure of BaAlRu2.

The structure in extended XYZ format:
```
4
Lattice="3.068 0.000 0.000 -1.534 4.182 0.091 0.000 -0.954 6.165" Properties=species:S:1:pos:R:3 pbc="T T T"
Ba 1.534 0.000 0.000
Ru 0.000 2.007 2.167
Ru 1.534 1.221 4.090
Al 0.000 -0.477 3.083
```

Calculated values
Formation enthalpy at 0 K, meV/atom: 324
D(E_F), states/eV/cell: 4.30